1.
Pr3YS4 | GGA-PBE | optimized geometry

Calculated values
E_form (uncorrected): -2.010 eV/atom
Final energy: -6.67 eV per atom
Size of the total moment: 0.0000 μB per atom
Relative energy among the computed polymorphs: 5 meV/atom

Unit cell a=7.0626 b=7.0626 c=4.0142 alpha=90.00 beta=90.00 gamma=108.91
Element x y z (fractional)
Pr  0.0000  0.0000  0.0000
Pr  0.0000  0.5000  0.5000
Pr  0.5000  0.0000  0.5000
Y  0.5000  0.5000  0.0000
S  0.2563  0.7437  0.0000
S  0.2625  0.2625  0.5000
S  0.7375  0.7375  0.5000
S  0.7437  0.2563  0.0000



2.
LuAlPt | GGA-PBE | optimized geometry

Calculated values
Final energy: -5.80 eV per atom
Formation enthalpy at 0 K: -100.0 kJ/mol of atoms
Size of the total moment: 0.0000 μB per atom

Unit cell a=4.3872 b=4.3872 c=3.5221 alpha=90.00 beta=90.00 gamma=120.00
Element x y z (fractional)
Lu  0.0000  0.0000  0.0000
Al  0.3333  0.6667  0.5000
Pt  0.6667  0.3333  0.5000



3.
Cd2OsSe | GGA-PBE | optimized geometry

Calculated values
E_form (uncorrected): 0.796 eV/atom
Final energy: -3.34 eV per atom
Size of the total moment: 0.3945 μB per atom

Unit cell a=6.1591 b=6.1591 c=6.1591 alpha=101.16 beta=101.16 gamma=127.79
Element x y z (fractional)
Cd  0.1177  0.6250  0.9927
Cd  0.3750  0.3677  0.4927
Cd  0.6323  0.1250  0.0073
Cd  0.8750  0.8823  0.5073
Os  0.0000  0.0000  0.0000
Os  0.7500  0.2500  0.5000
Se  0.2500  0.7500  0.5000
Se  0.5000  0.5000  0.0000



4.
Li3NpRh4 | GGA-PBE | optimized geometry

Calculated values
Final energy: -6.34 eV per atom
Formation enthalpy at 0 K: -31.5 kJ/mol of atoms
Size of the total moment: 0.1556 μB per atom

Unit cell a=7.0426 b=7.0426 c=7.0426 alpha=145.18 beta=145.18 gamma=50.06
Element x y z (fractional)
Li  0.0000  0.0000  0.0000
Li  0.2483  0.2483  0.0000
Li  0.7517  0.7517  0.0000
Np  0.5000  0.5000  0.0000
Rh  0.1282  0.6282  0.5000
Rh  0.3718  0.8718  0.5000
Rh  0.6282  0.1282  0.5000
Rh  0.8718  0.3718  0.5000



5.
ZrNiBr2 | GGA-PBE | optimized geometry

Calculated values
E_form (uncorrected): 0.076 eV/atom
Final energy: -4.34 eV per atom
Size of the total moment: 0.4221 μB per atom
Relative energy among the computed polymorphs: 779 meV/atom

Unit cell a=6.6969 b=6.6969 c=6.6969 alpha=125.37 beta=125.37 gamma=80.92
Element x y z (fractional)
Zr  0.0000  0.0000  0.0000
Zr  0.7500  0.2500  0.5000
Ni  0.2500  0.7500  0.5000
Ni  0.5000  0.5000  0.0000
Br  0.1720  0.6250  0.0470
Br  0.3750  0.4220  0.5470
Br  0.5780  0.1250  0.9530
Br  0.8750  0.8280  0.4530



6.
AcLa3DyEr | GGA-PBE | optimized geometry

Calculated values
Final energy: -4.63 eV per atom
Formation enthalpy at 0 K: 4.0 kJ/mol of atoms
Size of the total moment: 0.0000 μB per atom

Unit cell a=8.2033 b=5.2981 c=10.6005 alpha=90.00 beta=108.88 gamma=90.00
Element x y z (fractional)
Ac  0.1731  0.2500  0.2927
Ac  0.8269  0.7500  0.7073
La  0.1721  0.7500  0.5458
La  0.1741  0.7500  0.0405
La  0.1759  0.2500  0.7939
La  0.8241  0.7500  0.2061
La  0.8259  0.2500  0.9595
La  0.8279  0.2500  0.4542
Dy  0.4976  0.2500  0.6273
Dy  0.5024  0.7500  0.3727
Er  0.4979  0.7500  0.8771
Er  0.5021  0.2500  0.1229